The following is a DFT calculation (GGA-PBE) of a relaxed structure of GaSnP.

Cell lengths 3.8034, 3.8034, 5.1471 Å; angles 90.00, 90.00, 120.00 degrees
Sites, in units of the cell vectors:
1 Sn 0.3333 0.6667 0.0520
2 P 0.6667 0.3333 0.3930
3 Ga 0.0000 0.0000 0.6341

## Properties
- Energy of formation: -0.106 eV/f.u.
- Energy above the lowest structure with this stoichiometry: 0.13 eV/f.u.
- Volume: 21.49 A^3/atom
- Space-group type: P3m1
- Density: 5.65 Mg/m³
- Electronic total energy: -12.545 eV per cell
- N(E_F): 0.415 states/eV per atom